Material: La2MgBe
Method: DFT, PBE
State: relaxed

The relative energy among the computed polymorphs is 147 meV per atom. Its size of the total moment is 0.000 μB per formula unit. The density of states at the Fermi level comes out at 3.91 states/eV/f.u. As for the uncorrected energy: -14.42 eV per cell.

The space group is P4mm (No. 99) and the conventional cell measures 3.3810, 3.3810 and 9.0179 Å, with angles of 90.00, 90.00 and 90.00 degrees. Symmetry generates all atoms from La at (0.0000, 0.0000, 0.0000), La at (0.5000, 0.5000, 0.3393), Mg at (0.0000, 0.0000, 0.6255) and Be at (0.5000, 0.5000, 0.7815).

***

Material: CrFe2Pb
Method: DFT, PBE
State: relaxed

Its size of the total moment is 5.174 μB per formula unit. The density of states at the Fermi level comes out at 5.13 states/eV/f.u. As for the uncorrected energy: -55.68 eV per cell.

The space group is C2/m (No. 12) and the conventional cell measures 8.5874, 3.0590 and 4.7062 Å, with angles of 90.00, 103.01 and 90.00 degrees. Symmetry generates all atoms from Cr at (0.0000, 0.0000, 0.0000), Fe at (0.2380, 0.5000, 0.1927) and Pb at (0.0000, 0.5000, 0.5000).